Record 1
{"formula": "SrPr2ZnO5", "functional": "PBE", "state": "optimized geometry", "cell": [[6.806, 0.000, 0.000], [0.000, 6.806, 0.000], [-3.403, -3.403, 5.769]], "species": ["O", "O", "Pr", "O", "Pr", "Zn", "Pr", "Sr", "Sr", "O", "Pr", "O", "O", "Zn", "O", "O", "O", "O"], "fractional_positions": [[0.783, 0.986, 0.268], [0.500, 0.500, 0.000], [0.827, 0.673, 0.000], [0.217, 0.014, 0.732], [0.327, 0.827, 0.000], [0.750, 0.250, 0.500], [0.673, 0.173, 0.000], [0.750, 0.750, 0.500], [0.250, 0.250, 0.500], [0.486, 0.283, 0.268], [0.173, 0.327, 0.000], [0.283, 0.783, 0.268], [0.000, 0.000, 0.000], [0.250, 0.750, 0.500], [0.014, 0.514, 0.732], [0.514, 0.717, 0.732], [0.986, 0.486, 0.268], [0.717, 0.217, 0.732]], "final_energy_ev_per_atom": -6.864, "spacegroup": "No. 140", "dos_ef_per_ev_fu": 0.00, "raw_formation_energy_mev_per_atom": -2719.0}

=====

Record 2
{"formula": "Pr2Ta2O9", "functional": "PBE", "state": "optimized geometry", "cell": [[1.954, 7.814, -0.057], [-1.954, 7.814, -0.057], [0.000, 2.530, 6.236]], "species": ["O", "Pr", "O", "Ta", "Pr", "O", "O", "O", "O", "O", "Ta", "O", "O"], "fractional_positions": [[0.824, 0.824, 0.417], [0.306, 0.306, 0.686], [0.721, 0.721, 0.934], [0.040, 0.040, 0.695], [0.694, 0.694, 0.314], [0.279, 0.279, 0.066], [0.548, 0.548, 0.661], [0.452, 0.452, 0.339], [0.176, 0.176, 0.583], [0.920, 0.920, 0.656], [0.960, 0.960, 0.305], [0.000, 0.000, 0.000], [0.080, 0.080, 0.344]], "final_energy_ev_per_atom": -8.762, "spacegroup": "No. 12", "dos_ef_per_ev_fu": 1.12, "raw_formation_energy_mev_per_atom": -2770.4}

=====

Record 3
{"formula": "Pr2TaO", "functional": "PBE", "state": "optimized geometry", "cell": [[3.347, 0.000, 0.000], [1.674, 2.899, 0.000], [1.674, 0.966, 9.211]], "species": ["O", "Pr", "Pr", "Ta"], "fractional_positions": [[0.500, 0.500, 0.500], [0.109, 0.109, 0.672], [0.891, 0.891, 0.328], [0.000, 0.000, 0.000]], "final_energy_ev_per_atom": -7.159, "spacegroup": "No. 166", "dos_ef_per_ev_fu": 3.14, "raw_formation_energy_mev_per_atom": -566.8}

=====

Record 4
{"formula": "Pr6TaO12", "functional": "PBE", "state": "optimized geometry", "cell": [[6.737, -0.329, -0.727], [-0.773, 6.701, -0.727], [-0.308, -0.329, 6.769]], "species": ["Ta", "O", "Pr", "O", "O", "O", "O", "O", "Pr", "Pr", "Pr", "O", "Pr", "Pr", "O", "O", "O", "O", "O"], "fractional_positions": [[0.000, 0.000, 0.000], [0.707, 0.038, 0.933], [0.140, 0.296, 0.611], [0.823, 0.411, 0.557], [0.067, 0.293, 0.962], [0.443, 0.177, 0.589], [0.933, 0.707, 0.038], [0.293, 0.962, 0.067], [0.704, 0.389, 0.860], [0.860, 0.704, 0.389], [0.296, 0.611, 0.140], [0.411, 0.557, 0.823], [0.611, 0.140, 0.296], [0.389, 0.860, 0.704], [0.557, 0.823, 0.411], [0.177, 0.589, 0.443], [0.038, 0.933, 0.707], [0.962, 0.067, 0.293], [0.589, 0.443, 0.177]], "final_energy_ev_per_atom": -8.451, "spacegroup": "No. 148", "dos_ef_per_ev_fu": 7.72, "raw_formation_energy_mev_per_atom": -3186.9}

=====

Record 5
{"formula": "Pr3TaO6", "functional": "PBE", "state": "optimized geometry", "cell": [[-5.710, -0.705, 0.729], [-0.498, -3.063, -6.861], [1.290, -6.140, 4.164]], "species": ["Ta", "O", "O", "Pr", "O", "O", "O", "Pr", "O", "Pr", "Ta", "O", "O", "Pr", "Pr", "O", "O", "O", "O", "Pr"], "fractional_positions": [[0.996, 0.179, 0.821], [0.706, 0.635, 0.669], [0.671, 0.889, 0.399], [0.479, 0.903, 0.715], [0.171, 0.111, 0.601], [0.177, 0.782, 0.218], [0.169, 0.028, 0.972], [0.430, 0.399, 0.601], [0.671, 0.601, 0.111], [0.479, 0.285, 0.097], [0.496, 0.821, 0.179], [0.206, 0.669, 0.635], [0.171, 0.399, 0.889], [0.930, 0.601, 0.399], [0.979, 0.715, 0.903], [0.706, 0.331, 0.365], [0.669, 0.972, 0.028], [0.206, 0.365, 0.331], [0.677, 0.218, 0.782], [0.979, 0.097, 0.285]], "final_energy_ev_per_atom": -8.547, "spacegroup": "No. 36", "dos_ef_per_ev_fu": 2.21, "raw_formation_energy_mev_per_atom": -2953.0}

=====

Record 6
{"formula": "Pr2TaO6", "functional": "PBE", "state": "optimized geometry", "cell": [[5.226, 0.000, 0.000], [0.000, 5.226, 0.000], [0.000, 0.000, 10.538]], "species": ["O", "O", "Ta", "Pr", "O", "O", "O", "Pr", "O", "O", "Pr", "O", "O", "O", "O", "O", "Pr", "Ta"], "fractional_positions": [[0.773, 0.227, 0.500], [0.318, 0.318, 0.358], [0.500, 0.500, 0.500], [0.000, 0.000, 0.669], [0.182, 0.818, 0.858], [0.727, 0.727, 0.000], [0.227, 0.773, 0.500], [0.500, 0.500, 0.831], [0.318, 0.318, 0.642], [0.682, 0.682, 0.642], [0.000, 0.000, 0.331], [0.682, 0.682, 0.358], [0.818, 0.182, 0.858], [0.273, 0.273, 0.000], [0.182, 0.818, 0.142], [0.818, 0.182, 0.142], [0.500, 0.500, 0.169], [0.000, 0.000, 0.000]], "final_energy_ev_per_atom": -8.561, "spacegroup": "No. 136", "dos_ef_per_ev_fu": 5.28, "raw_formation_energy_mev_per_atom": -2876.9}

=====

Record 7
{"formula": "Pr2Ta2O7", "functional": "PBE", "state": "optimized geometry", "cell": [[6.522, 0.000, 3.766], [2.174, 6.149, 3.766], [0.000, 0.000, 7.531]], "species": ["Ta", "O", "O", "Ta", "O", "O", "O", "Pr", "O", "O", "O", "Pr", "Pr", "O", "O", "Pr", "O", "O", "Ta", "O", "O", "Ta"], "fractional_positions": [[0.125, 0.625, 0.125], [0.792, 0.208, 0.792], [0.042, 0.458, 0.042], [0.125, 0.125, 0.125], [0.458, 0.042, 0.042], [0.458, 0.042, 0.458], [0.208, 0.792, 0.792], [0.125, 0.625, 0.625], [0.750, 0.750, 0.750], [0.042, 0.042, 0.458], [0.042, 0.458, 0.458], [0.625, 0.625, 0.625], [0.625, 0.625, 0.125], [0.458, 0.458, 0.042], [0.208, 0.208, 0.792], [0.625, 0.125, 0.625], [0.792, 0.792, 0.208], [0.500, 0.500, 0.500], [0.125, 0.125, 0.625], [0.208, 0.792, 0.208], [0.792, 0.208, 0.208], [0.625, 0.125, 0.125]], "final_energy_ev_per_atom": -9.110, "spacegroup": "No. 227", "dos_ef_per_ev_fu": 4.86, "raw_formation_energy_mev_per_atom": -2930.5}

=====

Record 8
{"formula": "Pr2TaO5", "functional": "PBE", "state": "optimized geometry", "cell": [[-2.378, -1.513, 2.563], [5.345, -5.256, 1.855], [6.062, 10.294, 11.701]], "species": ["Pr", "O", "Pr", "O", "O", "O", "Ta", "Pr", "Ta", "O", "O", "O", "Ta", "O", "O", "O", "O", "Pr", "Ta", "O", "Pr", "O", "Pr", "O", "O", "Pr", "O", "O", "O", "Pr", "O", "O"], "fractional_positions": [[0.250, 0.592, 0.240], [0.250, 0.357, 0.333], [0.750, 0.408, 0.760], [0.750, 0.559, 0.146], [0.750, 0.143, 0.833], [0.750, 0.643, 0.667], [0.250, 0.173, 0.594], [0.750, 0.355, 0.420], [0.750, 0.327, 0.094], [0.750, 0.144, 0.010], [0.250, 0.367, 0.053], [0.250, 0.857, 0.830], [0.250, 0.673, 0.906], [0.750, 0.059, 0.354], [0.250, 0.867, 0.447], [0.750, 0.644, 0.490], [0.250, 0.857, 0.167], [0.250, 0.092, 0.260], [0.750, 0.827, 0.406], [0.250, 0.357, 0.670], [0.250, 0.645, 0.580], [0.750, 0.143, 0.170], [0.250, 0.145, 0.920], [0.250, 0.941, 0.646], [0.250, 0.356, 0.510], [0.750, 0.855, 0.080], [0.250, 0.441, 0.854], [0.750, 0.133, 0.553], [0.750, 0.633, 0.947], [0.750, 0.908, 0.740], [0.250, 0.856, 0.990], [0.750, 0.643, 0.330]], "final_energy_ev_per_atom": -8.819, "spacegroup": "No. 62", "dos_ef_per_ev_fu": 1.44, "raw_formation_energy_mev_per_atom": -3043.5}

=====

Record 9
{"formula": "PrTa7O19", "functional": "PBE", "state": "optimized geometry", "cell": [[-0.363, -6.277, 0.322], [2.352, 3.269, 4.839], [-18.467, 1.478, 7.978]], "species": ["O", "O", "O", "Ta", "O", "O", "Ta", "O", "O", "O", "O", "O", "O", "Ta", "O", "O", "Ta", "O", "O", "O", "Ta", "Pr", "Ta", "O", "O", "O", "O", "O", "O", "O", "Ta", "Ta", "O", "O", "O", "Ta", "O", "O", "O", "Ta", "O", "Ta", "Pr", "O", "O", "O", "Ta", "Ta", "O", "Ta", "O", "O", "O", "O"], "fractional_positions": [[0.333, 0.667, 0.333], [0.708, 0.750, 0.250], [0.042, 0.292, 0.250], [0.026, 0.691, 0.844], [0.667, 0.578, 0.847], [0.708, 0.958, 0.750], [0.309, 0.335, 0.656], [0.042, 0.750, 0.750], [0.422, 0.089, 0.847], [0.422, 0.089, 0.653], [0.288, 0.902, 0.057], [0.000, 0.000, 0.868], [0.250, 0.292, 0.750], [0.333, 0.667, 0.000], [0.333, 0.667, 0.833], [0.288, 0.386, 0.557], [0.026, 0.691, 0.656], [0.000, 0.000, 0.368], [0.333, 0.667, 0.167], [0.422, 0.333, 0.347], [0.309, 0.974, 0.156], [0.000, 0.000, 0.500], [0.665, 0.691, 0.156], [0.614, 0.902, 0.943], [0.288, 0.902, 0.443], [0.333, 0.667, 0.667], [0.288, 0.386, 0.943], [0.667, 0.578, 0.653], [0.000, 0.000, 0.632], [0.614, 0.712, 0.057], [0.665, 0.974, 0.656], [0.309, 0.974, 0.344], [0.000, 0.000, 0.132], [0.911, 0.333, 0.847], [0.614, 0.902, 0.557], [0.309, 0.335, 0.844], [0.422, 0.333, 0.153], [0.614, 0.712, 0.443], [0.098, 0.386, 0.057], [0.026, 0.335, 0.156], [0.667, 0.089, 0.153], [0.665, 0.691, 0.344], [0.000, 0.000, 0.000], [0.098, 0.712, 0.557], [0.911, 0.578, 0.153], [0.667, 0.089, 0.347], [0.665, 0.974, 0.844], [0.026, 0.335, 0.344], [0.911, 0.578, 0.347], [0.333, 0.667, 0.500], [0.098, 0.712, 0.943], [0.250, 0.958, 0.250], [0.098, 0.386, 0.443], [0.911, 0.333, 0.653]], "final_energy_ev_per_atom": -9.669, "spacegroup": "No. 188", "dos_ef_per_ev_fu": 0.00, "raw_formation_energy_mev_per_atom": -2930.0}

=====

Record 10
{"formula": "Pr2Ta3O10", "functional": "PBE", "state": "optimized geometry", "cell": [[5.561, 0.000, -1.810], [-0.952, 7.079, -2.926], [0.134, 0.036, 9.860]], "species": ["Ta", "O", "O", "O", "Ta", "Pr", "O", "O", "Ta", "O", "O", "O", "Ta", "O", "O", "O", "Ta", "Pr", "O", "O", "Pr", "O", "O", "O", "O", "O", "O", "Pr", "Ta", "O"], "fractional_positions": [[0.916, 0.515, 0.833], [0.027, 0.203, 0.054], [0.500, 0.000, 0.500], [0.483, 0.796, 0.965], [0.084, 0.485, 0.167], [0.596, 0.721, 0.193], [0.597, 0.494, 0.699], [0.846, 0.039, 0.223], [0.186, 0.039, 0.372], [0.000, 0.000, 0.500], [0.623, 0.961, 0.777], [0.898, 0.506, 0.301], [0.814, 0.961, 0.628], [0.775, 0.696, 0.551], [0.517, 0.204, 0.035], [0.377, 0.039, 0.223], [0.743, 0.000, 0.000], [0.698, 0.342, 0.396], [0.765, 0.500, 0.000], [0.102, 0.494, 0.699], [0.404, 0.279, 0.807], [0.973, 0.797, 0.946], [0.403, 0.506, 0.301], [0.880, 0.239, 0.759], [0.120, 0.761, 0.241], [0.225, 0.304, 0.449], [0.235, 0.500, 0.000], [0.302, 0.658, 0.604], [0.257, 0.000, 0.000], [0.154, 0.961, 0.777]], "final_energy_ev_per_atom": -9.275, "spacegroup": "No. 12", "dos_ef_per_ev_fu": 0.59, "raw_formation_energy_mev_per_atom": -2961.6}

=====

Record 11
{"formula": "Pr3TaTe2O6", "functional": "PBE", "state": "optimized geometry", "cell": [[6.138, 0.000, 0.824], [0.000, 6.579, 0.000], [0.448, -3.289, 6.103]], "species": ["Pr", "O", "O", "Pr", "Te", "Pr", "Ta", "O", "O", "O", "Te", "O"], "fractional_positions": [[0.500, 0.500, 0.500], [0.658, 0.841, 0.682], [0.314, 0.177, 0.894], [0.500, 0.000, 0.500], [0.940, 0.251, 0.502], [0.000, 0.500, 0.000], [0.500, 0.000, 0.000], [0.342, 0.159, 0.318], [0.686, 0.823, 0.106], [0.686, 0.283, 0.106], [0.060, 0.749, 0.498], [0.314, 0.717, 0.894]], "final_energy_ev_per_atom": -7.328, "spacegroup": "No. 12", "dos_ef_per_ev_fu": 3.34, "raw_formation_energy_mev_per_atom": -2143.2}

=====

Record 12
{"formula": "PrTaTiO6", "functional": "PBE", "state": "optimized geometry", "cell": [[-3.782, 3.183, -2.238], [-5.113, -2.600, 4.942], [2.680, 8.150, 7.061]], "species": ["Ti", "O", "Pr", "O", "O", "O", "O", "O", "Pr", "O", "O", "O", "O", "O", "Ti", "Ta", "Ti", "O", "O", "O", "O", "Ta", "O", "Ti", "O", "Pr", "O", "O", "O", "O", "Ta", "Ta", "O", "O", "Pr", "O"], "fractional_positions": [[0.465, 0.992, 0.642], [0.265, 0.038, 0.471], [0.543, 0.249, 0.044], [0.955, 0.249, 0.144], [0.630, 0.558, 0.791], [0.343, 0.752, 0.622], [0.127, 0.443, 0.714], [0.235, 0.038, 0.971], [0.043, 0.749, 0.456], [0.657, 0.252, 0.378], [0.765, 0.538, 0.029], [0.455, 0.749, 0.356], [0.627, 0.943, 0.786], [0.130, 0.058, 0.709], [0.965, 0.492, 0.858], [0.463, 0.506, 0.645], [0.535, 0.492, 0.358], [0.373, 0.443, 0.214], [0.735, 0.538, 0.529], [0.228, 0.463, 0.975], [0.045, 0.749, 0.856], [0.037, 0.506, 0.145], [0.843, 0.252, 0.878], [0.035, 0.992, 0.142], [0.772, 0.963, 0.025], [0.457, 0.749, 0.956], [0.545, 0.249, 0.644], [0.870, 0.558, 0.291], [0.728, 0.963, 0.525], [0.370, 0.058, 0.209], [0.963, 0.006, 0.855], [0.537, 0.006, 0.355], [0.157, 0.752, 0.122], [0.873, 0.943, 0.286], [0.957, 0.249, 0.544], [0.272, 0.463, 0.475]], "final_energy_ev_per_atom": -9.185, "spacegroup": "No. 33", "de_polymorph_mev_per_atom": 0, "dos_ef_per_ev_fu": 0.00, "raw_formation_energy_mev_per_atom": -3154.0}

=====

Record 13
{"formula": "PrTaTiO6", "functional": "PBE", "state": "optimized geometry", "cell": [[-1.598, -1.299, 4.827], [-2.271, -2.190, -4.194], [6.906, -7.615, 0.237]], "species": ["O", "O", "O", "Pr", "O", "Pr", "Ti", "O", "O", "O", "O", "Ta", "O", "O", "O", "Ti", "O", "Ta"], "fractional_positions": [[0.371, 0.368, 0.856], [0.371, 0.003, 0.644], [0.368, 0.997, 0.144], [0.000, 0.000, 0.500], [0.629, 0.632, 0.144], [0.000, 0.000, 0.000], [0.333, 0.667, 0.250], [0.997, 0.368, 0.644], [0.632, 0.629, 0.644], [0.368, 0.371, 0.356], [0.003, 0.632, 0.356], [0.667, 0.333, 0.250], [0.003, 0.371, 0.144], [0.997, 0.629, 0.856], [0.632, 0.003, 0.856], [0.667, 0.333, 0.750], [0.629, 0.997, 0.356], [0.333, 0.667, 0.750]], "final_energy_ev_per_atom": -9.164, "spacegroup": "No. 163", "de_polymorph_mev_per_atom": 21, "dos_ef_per_ev_fu": 0.00, "raw_formation_energy_mev_per_atom": -3133.4}

=====

Record 14
{"formula": "PrY2TaO8", "functional": "PBE", "state": "optimized geometry", "cell": [[5.086, -0.030, -0.003], [0.006, 5.099, -0.006], [0.004, 0.008, 7.078]], "species": ["Ta", "O", "O", "O", "Pr", "Y", "O", "O", "O", "O", "O", "Y"], "fractional_positions": [[0.000, 0.000, 0.000], [0.281, 0.280, 0.000], [0.719, 0.720, 0.000], [0.814, 0.187, 0.790], [0.000, 0.000, 0.500], [0.500, 0.500, 0.242], [0.186, 0.813, 0.790], [0.320, 0.319, 0.500], [0.680, 0.681, 0.500], [0.814, 0.187, 0.210], [0.186, 0.813, 0.210], [0.500, 0.500, 0.758]], "final_energy_ev_per_atom": -8.620, "spacegroup": "No. 10", "dos_ef_per_ev_fu": 8.23, "raw_formation_energy_mev_per_atom": -2850.7}

=====

Record 15
{"formula": "PrZr2TaO8", "functional": "PBE", "state": "optimized geometry", "cell": [[4.980, 0.030, -0.003], [0.072, 4.977, -0.005], [0.005, 0.008, 6.742]], "species": ["O", "O", "O", "Zr", "O", "Ta", "O", "O", "Zr", "Pr", "O", "O"], "fractional_positions": [[0.199, 0.802, 0.787], [0.198, 0.801, 0.213], [0.802, 0.199, 0.787], [0.500, 0.500, 0.246], [0.292, 0.292, 0.000], [0.000, 0.000, 0.000], [0.325, 0.325, 0.500], [0.708, 0.708, 0.000], [0.500, 0.500, 0.754], [0.000, 0.000, 0.500], [0.675, 0.675, 0.500], [0.801, 0.198, 0.213]], "final_energy_ev_per_atom": -9.279, "spacegroup": "No. 65", "dos_ef_per_ev_fu": 0.00, "raw_formation_energy_mev_per_atom": -3163.0}

=====

Number 1: spin magnetization 0.00 μB per cell. Number 2: spin magnetization 2.02 μB per cell. Number 3: spin magnetization 0.93 μB per cell. Number 4: spin magnetization 1.16 μB per cell. Number 5: spin magnetization 0.00 μB per cell. Number 6: spin magnetization 2.10 μB per cell. Number 7: spin magnetization 3.91 μB per cell. Number 8: spin magnetization 0.00 μB per cell. Number 9: spin magnetization 0.00 μB per cell. Number 10: spin magnetization 0.00 μB per cell. Number 11: spin magnetization 0.00 μB per cell. Number 12: spin magnetization 0.00 μB per cell. Number 13: spin magnetization 0.00 μB per cell. Number 14: spin magnetization 2.04 μB per cell. Number 15: spin magnetization 0.00 μB per cell.